Material: Sm4BiSb2Se
Method: DFT, PBE-GGA
State: relaxed

Cell and atoms, written as POSCAR:
```
Sm4BiSb2Se
1.0
7.6619 0.0000 0.0000
0.0000 4.4328 0.0000
-2.5542 0.0000 7.2311
Sm Bi Sb Se
4 1 2 1
direct
0.2479 0.0000 0.2438
0.2514 0.5000 0.7568
0.7486 0.5000 0.2432
0.7521 0.0000 0.7562
0.0000 0.0000 0.5000
0.5000 0.0000 0.0000
0.5000 0.5000 0.5000
0.0000 0.5000 0.0000
```

Properties
raw formation energy	-1.27	eV/atom
D(E_F)	0.21	states/eV per atom
V	245.6	Å³/cell